Entry 1:
Compound: Th2NiRu
Source: the Alexandria database
Functional: PBE
Structure: relaxed

a b c (Å): 4.154 5.947 7.637
angles (deg): 108.66 90.00 90.00
Element x y z (fractional)
1 Th 0.250 0.772 0.068
2 Th 0.250 0.770 0.564
3 Th 0.750 0.230 0.436
4 Th 0.750 0.228 0.932
5 Ru 0.250 0.309 0.709
6 Ru 0.750 0.691 0.291
7 Ni 0.750 0.681 0.797
8 Ni 0.250 0.319 0.203

Final energy (eV per formula unit): -31.98
Space group: P2_1/m
ΔH_f (0 K) (eV per atom): -0.521
V (Å³/cell): 178.74


Entry 2:
Compound: Th3Ni7Ru2
Source: the Alexandria database
Functional: PBE
Structure: relaxed

a b c (Å): 5.041 5.041 9.068
angles (deg): 73.86 73.86 60.00
Element x y z (fractional)
1 Ru 0.332 0.332 0.004
2 Ru 0.668 0.668 0.996
3 Th 0.137 0.137 0.589
4 Th 0.000 0.000 0.000
5 Th 0.863 0.863 0.411
6 Ni 0.585 0.585 0.746
7 Ni 0.585 0.083 0.746
8 Ni 0.415 0.917 0.254
9 Ni 0.083 0.585 0.746
10 Ni 0.917 0.415 0.254
11 Ni 0.415 0.415 0.254
12 Ni 0.500 0.500 0.500

Final energy (eV per formula unit): -85.57
Space group: R-3m
ΔH_f (0 K) (eV per atom): -0.357
V (Å³/cell): 189.02


Entry 3:
Compound: ThNiRu
Source: the Alexandria database
Functional: PBE
Structure: relaxed

a b c (Å): 3.886 4.187 4.187
angles (deg): 120.00 90.00 90.00
Element x y z (fractional)
1 Ru 0.167 0.000 0.000
2 Th 0.667 0.667 0.333
3 Ni 0.167 0.333 0.667

Final energy (eV per formula unit): -23.55
Space group: P-6m2
ΔH_f (0 K) (eV per atom): -0.356
V (Å³/cell): 58.99


Entry 4:
Compound: Th8NiRu5
Source: the Alexandria database
Functional: PBE
Structure: relaxed

a b c (Å): 7.647 7.647 7.647
angles (deg): 109.15 110.11 109.15
Element x y z (fractional)
1 Th 0.125 0.753 0.484
2 Th 0.014 0.139 0.766
3 Th 0.234 0.248 0.373
4 Th 0.628 0.359 0.875
5 Th 0.627 0.861 0.875
6 Th 0.516 0.641 0.269
7 Th 0.125 0.752 0.986
8 Th 0.731 0.247 0.372
9 Ru 0.011 0.383 0.127
10 Ru 0.372 0.116 0.989
11 Ru 0.500 0.000 0.500
12 Ru 0.873 0.884 0.256
13 Ru 0.744 0.617 0.628
14 Ni 0.250 0.500 0.750

Final energy (eV per formula unit): -117.76
Space group: I-4
ΔH_f (0 K) (eV per atom): -0.446
V (Å³/cell): 344.16


Entry 5:
Compound: ThZnNiRu
Source: the Alexandria database
Functional: PBE
Structure: relaxed

a b c (Å): 4.361 4.361 5.160
angles (deg): 115.10 90.00 120.00
Element x y z (fractional)
1 Th 0.617 0.233 0.491
2 Ni 0.415 0.829 0.886
3 Ru 0.820 0.641 0.104
4 Zn 0.115 0.229 0.986

Final energy (eV per formula unit): -25.01
Space group: Cm
ΔH_f (0 K) (eV per atom): -0.315
V (Å³/cell): 74.09


Entry 6:
Compound: TiNi4Ru
Source: the Alexandria database
Functional: PBE
Structure: relaxed

a b c (Å): 4.693 4.693 4.693
angles (deg): 60.00 60.00 60.00
Each line ends with the local moment (μB).
Element x y z (fractional)
1 Ni 0.625 0.124 0.625  0.43
2 Ni 0.124 0.625 0.625  0.43
3 Ni 0.625 0.625 0.124  0.43
4 Ni 0.625 0.625 0.625  0.43
5 Ru 0.000 0.000 0.000  0.64
6 Ti 0.250 0.250 0.250  -0.23

Final energy (eV per formula unit): -41.37
Space group: F-43m
ΔH_f (0 K) (eV per atom): -0.178
V (Å³/cell): 73.10


Among the records above, which one has the highest final energy?
ThNiRu